Entry 1:
{
  "formula": "HfAgSe2",
  "functional": "PBEsol",
  "state": "relaxed",
  "dos_at_fermi_per_ev_cell": 12.36,
  "e_tot_ev_per_cell": -93.52,
  "lattice_angstrom": [[6.675, 0.000, 0.000], [0.000, 6.675, 0.000], [0.000, 0.000, 6.675]],
  "species": ["Hf", "Hf", "Hf", "Hf", "Ag", "Ag", "Ag", "Ag", "Se", "Se", "Se", "Se", "Se", "Se", "Se", "Se"],
  "fractional_positions": [[0.000, 0.000, 0.000], [0.000, 0.500, 0.500], [0.500, 0.000, 0.500], [0.500, 0.500, 0.000], [0.000, 0.000, 0.500], [0.000, 0.500, 0.000], [0.500, 0.000, 0.000], [0.500, 0.500, 0.500], [0.250, 0.250, 0.250], [0.250, 0.250, 0.750], [0.250, 0.750, 0.250], [0.250, 0.750, 0.750], [0.750, 0.250, 0.250], [0.750, 0.250, 0.750], [0.750, 0.750, 0.250], [0.750, 0.750, 0.750]]
}

Entry 2:
{
  "formula": "Y2HfAgSe",
  "functional": "PBEsol",
  "state": "relaxed",
  "dos_at_fermi_per_ev_cell": 3.92,
  "e_tot_ev_per_cell": -29.25,
  "lattice_angstrom": [[5.543, 0.000, 0.000], [0.000, 5.543, 0.000], [0.000, 0.000, 4.899]],
  "species": ["Y", "Y", "Hf", "Ag", "Se"],
  "fractional_positions": [[0.000, 0.500, 0.000], [0.500, 0.000, 0.000], [0.000, 0.000, 0.000], [0.500, 0.500, 0.500], [0.000, 0.000, 0.500]]
}

Entry 3:
{
  "formula": "Sr2HfAg2",
  "functional": "PBEsol",
  "state": "relaxed",
  "formation_enthalpy_0k_kj_per_mol_fu": 169.7,
  "dos_at_fermi_per_ev_cell": 6.42,
  "lattice_angstrom": [[3.725, 0.000, 0.000], [0.000, 3.725, 0.000], [0.000, 0.000, 20.679]],
  "species": ["Sr", "Sr", "Sr", "Sr", "Hf", "Hf", "Ag", "Ag", "Ag", "Ag"],
  "fractional_positions": [[0.000, 0.000, 0.118], [0.000, 0.000, 0.882], [0.500, 0.500, 0.382], [0.500, 0.500, 0.618], [0.000, 0.000, 0.500], [0.500, 0.500, 0.000], [0.000, 0.500, 0.250], [0.000, 0.500, 0.750], [0.500, 0.000, 0.250], [0.500, 0.000, 0.750]]
}